This record from the Alexandria database describes a geometry-optimized TbDy4Cd5 structure. The functional is GGA-PBE.

Lattice parameters (Å, degrees): 3.744 3.744 18.768 90.00 90.00 90.00
Space group P4/mmm (No. 123)
Inequivalent atoms, fractional coordinates:
Tb 0.000 0.000 0.000 [1 per cell]
Dy 0.000 0.000 0.201 [2 per cell]
Dy 0.000 0.000 0.400 [2 per cell]
Cd 0.500 0.500 0.101 [2 per cell]
Cd 0.500 0.500 0.300 [2 per cell]
Cd 0.500 0.500 0.500 [1 per cell]

Crystal system: tetragonal
Formation energy from the elements: -318.0 meV per atom